(w)
Density functional theory data (PBE) for PaPRu3 after structural relaxation.

POSCAR file:
```
PaPRu3
1.0
6.0683 0.7441 0.0000
0.7895 6.0626 0.0000
0.0000 0.0000 9.0707
Pa P Ru
4 4 12
direct
0.8842 0.8842 0.2500
0.1158 0.1158 0.7500
0.3988 0.3988 0.2500
0.6012 0.6012 0.7500
0.5000 0.0000 0.0000
0.5000 0.0000 0.5000
0.0000 0.5000 0.0000
0.0000 0.5000 0.5000
0.8555 0.4692 0.2500
0.1445 0.5308 0.7500
0.5308 0.1445 0.7500
0.4692 0.8555 0.2500
0.1138 0.1138 0.4086
0.8862 0.8862 0.9086
0.8862 0.8862 0.5914
0.1138 0.1138 0.0914
0.3079 0.6921 0.0000
0.6921 0.3079 0.5000
0.6921 0.3079 0.0000
0.3079 0.6921 0.5000
```

Results
The density of states at the Fermi level is 0.653 states/eV/atom. The calculation puts the total magnetic moment at 0.000 μB per atom.

(x)
Density functional theory data (PBE) for PaPRu3 after structural relaxation.

POSCAR file:
```
PaPRu3
1.0
3.7325 -0.0009 1.2900
-0.4455 3.7050 1.2932
0.0207 0.0187 5.9903
Pa P Ru
1 1 3
direct
0.4011 0.2046 0.9031
0.0219 0.8253 0.6613
0.6389 0.9424 0.4275
0.1389 0.4424 0.4275
0.8069 0.6104 0.0917
```

Results
The density of states at the Fermi level is 0.974 states/eV/atom. The calculation puts the total magnetic moment at 0.000 μB per atom.

Result of the stability comparison: (x) is the most stable of them.

(w)
Density functional theory data (PBE) for Pa2PRu after structural relaxation.

POSCAR file:
```
Pa2PRu
1.0
-2.5774 1.4478 2.5576
-3.9955 -3.5722 -2.0043
4.1909 -3.1611 6.0127
Pa P Ru
4 2 2
direct
0.7500 0.2123 0.4119
0.2500 0.7877 0.5881
0.2500 0.7838 0.0701
0.7500 0.2162 0.9299
0.7500 0.6713 0.3035
0.2500 0.3287 0.6965
0.2500 0.3284 0.2009
0.7500 0.6716 0.7991
```

Results
The density of states at the Fermi level is 1.159 states/eV/atom. The calculation puts the total magnetic moment at 0.000 μB per atom.

(x)
Density functional theory data (PBE) for Pa2PRu after structural relaxation.

POSCAR file:
```
Pa2PRu
1.0
-3.4625 -0.4687 -1.5849
-2.3444 -2.7492 1.2908
-4.6347 3.3792 4.4819
Ru Pa P
1 2 1
direct
0.5000 0.5000 0.5000
0.2475 0.2475 0.2575
0.7525 0.7525 0.7425
0.0000 0.0000 0.0000
```

Results
The density of states at the Fermi level is 1.450 states/eV/atom. The calculation puts the total magnetic moment at 0.000 μB per atom.

Result of the stability comparison: (w) is the most stable of them.